Entry 1:
A relaxed CsGaHg2As crystal. Source: Alexandria via LeMat-Bulk, functional GGA-PBEsol.

Output
The energy is -4.9 eV/f.u. The value obtained for the formation energy is 1.119 eV per atom. The calculation puts the calculated density at 4.4 g cm⁻³.

The structure in CIF format:
```
data_CsGaHg2As
_cell_length_a 6.330
_cell_length_b 6.330
_cell_length_c 6.356
_cell_angle_alpha 90.00
_cell_angle_beta 90.00
_cell_angle_gamma 90.00
_space_group_name_H-M_alt 'P 4/m m m'
_space_group_IT_number 123
_space_group_name_Hall '-P 4 2'
loop_
_atom_site_label
_atom_site_type_symbol
_atom_site_fract_x
_atom_site_fract_y
_atom_site_fract_z
_atom_site_occupancy
Cs1 Cs 0.000 0.000 0.000 1
Ga1 Ga 0.000 0.000 0.500 1
Hg1 Hg 0.000 0.500 0.000 1
As1 As 0.500 0.500 0.500 1
```


Entry 2:
A relaxed AlH3O3 crystal. Source: Alexandria via LeMat-Bulk, functional GGA-PBEsol.

Output
The energy relative to the lowest polymorph listed for this composition comes out at 3.2 kJ/mol of atoms. The energy is -42.0 eV/f.u. The calculation puts the calculated density at 2.6 g cm⁻³.

The structure in CIF format:
```
data_AlH3O3
_cell_length_a 8.345
_cell_length_b 5.146
_cell_length_c 12.427
_cell_angle_alpha 90.00
_cell_angle_beta 131.74
_cell_angle_gamma 90.00
_space_group_name_H-M_alt 'P 1 c 1'
_space_group_IT_number 7
loop_
_space_group_symop_operation_xyz
'x,y,z'
'x,-y,z+1/2'
loop_
_atom_site_label
_atom_site_type_symbol
_atom_site_fract_x
_atom_site_fract_y
_atom_site_fract_z
_atom_site_occupancy
Al1 Al 0.000 0.224 0.000 1
Al2 Al 0.340 0.237 0.986 1
Al3 Al 0.492 0.252 0.496 1
Al4 Al 0.868 0.264 0.512 1
H1 H 0.014 0.141 0.387 1
H2 H 0.091 0.057 0.233 1
H3 H 0.228 0.424 0.604 1
H4 H 0.279 0.451 0.782 1
H5 H 0.329 0.097 0.611 1
H6 H 0.429 0.116 0.244 1
H7 H 0.575 0.450 0.713 1
H8 H 0.592 0.062 0.918 1
H9 H 0.619 0.395 0.891 1
H10 H 0.713 0.069 0.210 1
H11 H 0.785 0.413 0.118 1
H12 H 0.959 0.354 0.789 1
O1 O 0.068 0.359 0.897 1
O2 O 0.123 0.468 0.615 1
O3 O 0.240 0.072 0.385 1
O4 O 0.311 0.087 0.125 1
O5 O 0.403 0.431 0.890 1
O6 O 0.446 0.437 0.606 1
O7 O 0.576 0.121 0.389 1
O8 O 0.605 0.064 0.103 1
O9 O 0.740 0.425 0.894 1
O10 O 0.788 0.395 0.615 1
O11 O 0.904 0.092 0.393 1
O12 O 0.977 0.041 0.115 1
```


Entry 3:
A relaxed SrFeAg2 crystal. Source: Alexandria via LeMat-Bulk, functional GGA-PBEsol.

Output
The energy relative to the lowest polymorph listed for this composition comes out at 0.0 kJ/mol of atoms. The energy is -15.6 eV/f.u. The value obtained for the formation energy is 0.455 eV per atom. The calculation puts the calculated density at 7.5 g cm⁻³.

The structure in CIF format:
```
data_SrFeAg2
_cell_length_a 3.851
_cell_length_b 4.575
_cell_length_c 9.084
_cell_angle_alpha 90.00
_cell_angle_beta 90.00
_cell_angle_gamma 90.00
_space_group_name_H-M_alt 'I m m 2'
_space_group_IT_number 44
loop_
_space_group_symop_operation_xyz
'x,y,z'
'-x,-y,z'
'-x,y,z'
'x,-y,z'
'x+1/2,y+1/2,z+1/2'
'-x+1/2,-y+1/2,z+1/2'
'-x+1/2,y+1/2,z+1/2'
'x+1/2,-y+1/2,z+1/2'
loop_
_atom_site_label
_atom_site_type_symbol
_atom_site_fract_x
_atom_site_fract_y
_atom_site_fract_z
_atom_site_occupancy
Sr1 Sr 0.000 0.000 0.000 1
Fe1 Fe 0.000 0.500 0.236 1
Ag1 Ag 0.000 0.000 0.522 1
Ag2 Ag 0.000 0.500 0.770 1
```


Entry 4:
A relaxed Ce3ZrSb5 crystal. Source: Alexandria via LeMat-Bulk, functional GGA-PBEsol.

Output
The energy is -60.3 eV/f.u. The calculation puts the calculated density at 8.1 g cm⁻³. The calculation puts the formation energy (no corrections) at -0.959 eV per atom.

The structure in CIF format:
```
data_Ce3ZrSb5
_cell_length_a 9.2684
_cell_length_b 9.2684
_cell_length_c 6.2072
_cell_angle_alpha 90.00
_cell_angle_beta 90.00
_cell_angle_gamma 120.00
_space_group_name_H-M_alt 'P 63/m c m'
_space_group_IT_number 193
_space_group_name_Hall '-P 6c 2'
loop_
_atom_site_label
_atom_site_type_symbol
_atom_site_fract_x
_atom_site_fract_y
_atom_site_fract_z
_atom_site_occupancy
Ce1 Ce 0.0000 0.3840 0.2500 1
Zr1 Zr 0.0000 0.0000 0.0000 1
Sb1 Sb 0.0000 0.2690 0.7500 1
Sb2 Sb 0.3333 0.6667 0.0000 1
```


Entry 5:
A relaxed TaPtAu crystal. Source: Alexandria via LeMat-Bulk, functional GGA-PBEsol.

Output
The energy relative to the lowest polymorph listed for this composition comes out at 0.0 kJ/mol of atoms. The energy is -24.9 eV/f.u. The value obtained for the formation energy is -0.475 eV per atom. The calculation puts the calculated density at 19.7 g cm⁻³.

The structure in CIF format:
```
data_TaPtAu
_cell_length_a 2.868
_cell_length_b 3.987
_cell_length_c 8.437
_cell_angle_alpha 90.00
_cell_angle_beta 90.00
_cell_angle_gamma 90.00
_space_group_name_H-M_alt 'I m m 2'
_space_group_IT_number 44
loop_
_space_group_symop_operation_xyz
'x,y,z'
'-x,-y,z'
'-x,y,z'
'x,-y,z'
'x+1/2,y+1/2,z+1/2'
'-x+1/2,-y+1/2,z+1/2'
'-x+1/2,y+1/2,z+1/2'
'x+1/2,-y+1/2,z+1/2'
loop_
_atom_site_label
_atom_site_type_symbol
_atom_site_fract_x
_atom_site_fract_y
_atom_site_fract_z
_atom_site_occupancy
Ta1 Ta 0.000 0.000 0.000 1
Pt1 Pt 0.000 0.000 0.340 1
Au1 Au 0.000 0.000 0.668 1
```


Entry 6:
A relaxed Y4ZrSb crystal. Source: Alexandria via LeMat-Bulk, functional GGA-PBEsol.

Output
The energy is -39.2 eV/f.u. The calculation puts the calculated density at 5.7 g cm⁻³. The calculation puts the formation energy (no corrections) at 0.293 eV per atom.

The structure in CIF format:
```
data_Y4ZrSb
_cell_length_a 8.705
_cell_length_b 8.705
_cell_length_c 8.705
_cell_angle_alpha 90.00
_cell_angle_beta 90.00
_cell_angle_gamma 90.00
_space_group_name_H-M_alt 'F -4 3 m'
_space_group_IT_number 216
_space_group_name_Hall 'F -4 2 3'
loop_
_atom_site_label
_atom_site_type_symbol
_atom_site_fract_x
_atom_site_fract_y
_atom_site_fract_z
_atom_site_occupancy
Y1 Y 0.123 0.123 0.377 1
Zr1 Zr 0.250 0.250 0.750 1
Sb1 Sb 0.000 0.000 0.000 1
```


Entry 7:
A relaxed Si4Ag crystal. Source: Alexandria via LeMat-Bulk, functional GGA-PBEsol.

Output
The energy is -24.6 eV/f.u. The calculation puts the calculated density at 4.3 g cm⁻³. The calculation puts the formation energy (no corrections) at 0.337 eV per atom.

The structure in CIF format:
```
data_Si4Ag
_cell_length_a 4.361
_cell_length_b 4.361
_cell_length_c 8.951
_cell_angle_alpha 90.00
_cell_angle_beta 90.00
_cell_angle_gamma 90.00
_space_group_name_H-M_alt 'I 4/m m m'
_space_group_IT_number 139
_space_group_name_Hall '-I 4 2'
loop_
_atom_site_label
_atom_site_type_symbol
_atom_site_fract_x
_atom_site_fract_y
_atom_site_fract_z
_atom_site_occupancy
Si1 Si 0.000 0.000 0.128 1
Si2 Si 0.000 0.500 0.250 1
Ag1 Ag 0.000 0.000 0.500 1
```


Entry 8:
A relaxed TcP2PtS crystal. Source: Alexandria via LeMat-Bulk, functional GGA-PBEsol.

Output
The energy relative to the lowest polymorph listed for this composition comes out at 0.0 kJ/mol of atoms. The energy is -30.4 eV/f.u. The calculation puts the calculated density at 7.1 g cm⁻³. The calculation puts the formation energy (no corrections) at 0.762 eV per atom.

The structure in CIF format:
```
data_TcP2PtS
_cell_length_a 4.575
_cell_length_b 4.575
_cell_length_c 4.331
_cell_angle_alpha 90.00
_cell_angle_beta 90.00
_cell_angle_gamma 90.00
_space_group_name_H-M_alt 'P 4/m m m'
_space_group_IT_number 123
_space_group_name_Hall '-P 4 2'
loop_
_atom_site_label
_atom_site_type_symbol
_atom_site_fract_x
_atom_site_fract_y
_atom_site_fract_z
_atom_site_occupancy
Tc1 Tc 0.000 0.000 0.000 1
P1 P 0.000 0.500 0.000 1
Pt1 Pt 0.500 0.500 0.500 1
S1 S 0.000 0.000 0.500 1
```